Entry 1:
## CsHf2AlNi (PBE)

Data for a geometry-optimized CsHf2AlNi structure.

Unit cell a=5.0551 b=5.0551 c=4.7394 alpha=90.00 beta=90.00 gamma=90.00
Element x y z (fractional)
Al1 0.0000 0.0000 0.5000
Ni1 0.0000 0.0000 0.0000
Hf1 0.0000 0.5000 0.0000
Hf2 0.5000 0.0000 0.0000
Cs1 0.5000 0.5000 0.5000

As for the formation energy: 3.29 eV/f.u.

***

Entry 2:
## CsHf2AlO (PBE)

Data for a geometry-optimized CsHf2AlO structure.

Unit cell a=4.4593 b=4.4593 c=5.7721 alpha=90.00 beta=90.00 gamma=90.00
Element x y z (fractional)
Al1 0.0000 0.0000 0.5000
O1 0.0000 0.0000 0.0000
Hf1 0.5000 0.0000 0.0000
Hf2 0.0000 0.5000 0.0000
Cs1 0.5000 0.5000 0.5000

Its uncorrected formation energy is 62 kJ/mol of formula units.

***

Entry 3:
## CsHfAlS4 (PBE)

Data for a geometry-optimized CsHfAlS4 structure.

Unit cell a=6.3341 b=6.8276 c=10.3853 alpha=90.00 beta=121.93 gamma=90.00
Element x y z (fractional)
Cs1 0.3466 0.2500 0.0619
S1 0.9365 0.5071 0.3282
Al1 0.7890 0.2500 0.6420
Al2 0.2110 0.7500 0.3580
S2 0.9365 0.9929 0.3282
S3 0.6369 0.2500 0.7924
Hf1 0.7854 0.7500 0.4594
S4 0.4534 0.2500 0.4121
Cs2 0.6534 0.7500 0.9381
S5 0.0635 0.0071 0.6718
S6 0.0635 0.4929 0.6718
S7 0.5466 0.7500 0.5879
S8 0.3631 0.7500 0.2076
Hf2 0.2146 0.2500 0.5406

Its uncorrected formation energy is -922 kJ/mol of formula units.

***

Entry 4:
## Cs2HfAlS4 (PBE)

Data for a geometry-optimized Cs2HfAlS4 structure.

Unit cell a=6.3376 b=7.8791 c=13.0898 alpha=84.41 beta=75.99 gamma=66.29
Element x y z (fractional)
Al1 0.5000 0.0000 0.0000
S1 0.8709 0.8243 0.9048
Cs1 0.5737 0.5000 0.8525
S2 0.4452 0.6757 0.4048
Hf1 0.7500 0.5000 0.5000
Al2 0.2500 0.5000 0.5000
S3 0.6000 0.1757 0.0952
S4 0.1500 0.3243 0.4048
Cs2 0.9263 0.5000 0.1475
S5 0.8791 0.6757 0.5952
Cs3 0.1763 0.0000 0.6475
S6 0.2243 0.1757 0.9048
S7 0.3048 0.8243 0.0952
Cs4 0.8237 0.0000 0.3525
Hf2 0.0000 0.0000 0.0000
S8 0.5257 0.3243 0.5952

Its uncorrected formation energy is -971 kJ/mol of formula units.

***

Entry 5:
## Cs2HfAlSe4 (PBE)

Data for a geometry-optimized Cs2HfAlSe4 structure.

Unit cell a=6.6448 b=8.0766 c=13.4609 alpha=84.17 beta=75.71 gamma=65.71
Element x y z (fractional)
Se1 0.2188 0.1823 0.8999
Se2 0.8814 0.8177 0.8999
Se3 0.5312 0.3177 0.6001
Al1 0.5000 0.0000 0.0000
Cs1 0.9277 0.5000 0.1445
Se4 0.3010 0.8177 0.1001
Se5 0.1511 0.3177 0.3999
Al2 0.2500 0.5000 0.5000
Cs2 0.5723 0.5000 0.8555
Cs3 0.8223 0.0000 0.3555
Hf1 0.0000 0.0000 0.0000
Cs4 0.1777 0.0000 0.6445
Se6 0.8686 0.6823 0.6001
Hf2 0.7500 0.5000 0.5000
Se7 0.5989 0.1823 0.1001
Se8 0.4490 0.6823 0.3999

Its uncorrected formation energy is -874 kJ/mol of formula units.

***

Entry 6:
## Cs2HfAlTe5 (PBE)

Data for a geometry-optimized Cs2HfAlTe5 structure.

Unit cell a=4.0722 b=11.8558 c=16.4699 alpha=90.00 beta=90.00 gamma=99.89
Element x y z (fractional)
Te1 0.0699 0.1398 0.0272
Te2 0.6793 0.3585 0.5013
Al1 0.4197 0.8393 0.4246
Te3 0.9301 0.8602 0.5272
Te4 0.6977 0.3955 0.1462
Cs1 0.8761 0.7521 0.8183
Te5 0.6927 0.3854 0.8940
Cs2 0.1239 0.2479 0.3183
Te6 0.3023 0.6045 0.6462
Te7 0.5175 0.0349 0.7948
Te8 0.3073 0.6146 0.3940
Cs3 0.8596 0.7192 0.1916
Al2 0.5803 0.1607 0.9246
Cs4 0.1404 0.2808 0.6916
Te9 0.3207 0.6415 0.0013
Hf1 0.2024 0.4047 0.0260
Te10 0.4825 0.9651 0.2948
Hf2 0.7976 0.5953 0.5260

Its uncorrected formation energy is -677 kJ/mol of formula units.

***

Entry 7:
## CsHf2TiAl (PBE)

Data for a geometry-optimized CsHf2TiAl structure.

Unit cell a=5.1150 b=5.6664 c=5.1150 alpha=90.00 beta=90.00 gamma=90.00
Element x y z (fractional)
Cs1 0.0000 0.5000 0.0000
Al1 0.5000 0.5000 0.5000
Hf1 0.0000 0.0000 0.5000
Ti1 0.0000 0.0000 0.0000
Hf2 0.5000 0.0000 0.0000

As for the formation energy: 7.33 eV/f.u.

***

Entry 8:
## Cs2YHfAl (PBE)

Data for a geometry-optimized Cs2YHfAl structure.

Unit cell a=6.8604 b=5.3958 c=6.8604 alpha=90.00 beta=90.00 gamma=90.00
Element x y z (fractional)
Hf1 0.0000 0.5000 0.0000
Cs1 0.0000 0.0000 0.5000
Y1 0.0000 0.0000 0.0000
Cs2 0.5000 0.0000 0.0000
Al1 0.5000 0.5000 0.5000

As for the formation energy: 7.54 eV/f.u.

***

Entry 9:
## CsHf2AlZn (PBE)

Data for a geometry-optimized CsHf2AlZn structure.

Unit cell a=5.2756 b=4.7340 c=5.2756 alpha=90.00 beta=90.00 gamma=90.00
Element x y z (fractional)
Al1 0.0000 0.5000 0.0000
Cs1 0.5000 0.5000 0.5000
Hf1 0.5000 0.0000 0.0000
Zn1 0.0000 0.0000 0.0000
Hf2 0.0000 0.0000 0.5000

As for the formation energy: 5.16 eV/f.u.

***

Entry 10:
## CsHfZr2Al (PBE)

Data for a geometry-optimized CsHfZr2Al structure.

Unit cell a=5.1952 b=5.2548 c=5.1952 alpha=90.00 beta=90.00 gamma=90.00
Element x y z (fractional)
Zr1 0.5000 0.0000 0.0000
Hf1 0.0000 0.5000 0.0000
Cs1 0.0000 0.0000 0.0000
Al1 0.5000 0.5000 0.5000
Zr2 0.0000 0.0000 0.5000

As for the formation energy: 10.44 eV/f.u.

***

Entry 11:
## Cs2AlHg4 (PBE)

Data for a geometry-optimized Cs2AlHg4 structure.

Unit cell a=5.3850 b=5.3850 c=10.5068 alpha=75.15 beta=75.15 gamma=90.00
Element x y z (fractional)
Cs1 0.6476 0.6476 0.7047
Hg1 0.1522 0.1522 0.6955
Hg2 0.0000 0.5000 0.0000
Hg3 0.5000 0.0000 0.0000
Cs2 0.3524 0.3524 0.2953
Al1 0.0000 0.0000 0.0000
Hg4 0.8478 0.8478 0.3045

As for the formation energy: -0.97 eV/f.u.

***

Entry 12:
## CsAlHg (PBE)

Data for a geometry-optimized CsAlHg structure.

Unit cell a=5.5997 b=7.7052 c=11.3018 alpha=90.00 beta=119.70 gamma=90.00
Element x y z (fractional)
Hg1 0.0000 0.7500 0.7500
Hg2 0.0000 0.7500 0.2500
Cs1 0.3858 0.0000 0.6358
Cs2 0.6142 0.5000 0.8642
Hg3 0.0000 0.2500 0.7500
Al1 0.8019 0.5000 0.5519
Al2 0.1981 0.0000 0.9481
Al3 0.8019 0.0000 0.0519
Hg4 0.0000 0.2500 0.2500
Cs3 0.6142 0.0000 0.3642
Al4 0.1981 0.5000 0.4481
Cs4 0.3858 0.5000 0.1358

As for the formation energy: 0.02 eV/f.u. For the polymorph energy (0 for the lowest one), the calculation gives 43 meV per atom.

***

One value per record, in order, for density of states at the Fermi level: 7.489; 4.447; 0.000; 1.670; 2.016; 3.204; 8.197; 7.285; 6.639; 9.337; 3.136; 0.949 states/eV/f.u..
One value per record, in order, for E_tot: -5.3980; -5.7636; -5.8015; -5.2470; -4.8005; -4.2366; -5.0132; -2.8654; -4.1231; -4.2407; -1.0897; -1.6244 eV/atom.